The following is a GGA+U calculation of PuCoSiO6 after structural relaxation, from Alexandria via LeMat-Bulk.

CIF file:
```
data_PuCoSiO6
_chemical_formula_sum 'Pu2 Co2 Si2 O12'
_space_group_name_H-M_alt 'P -3 1 c'
_space_group_IT_number 163
_space_group_name_Hall '-P 3 2c'
_cell_length_a 5.1119
_cell_length_b 5.1119
_cell_length_c 8.8260
_cell_angle_alpha 90.00
_cell_angle_beta 90.00
_cell_angle_gamma 120.00
loop_
_atom_site_label
_atom_site_type_symbol
_atom_site_fract_x
_atom_site_fract_y
_atom_site_fract_z
_atom_site_occupancy
Pu1 Pu 0.3333 0.6667 0.2500 1
Co1 Co 0.0000 0.0000 0.0000 1
Si1 Si 0.3333 0.6667 0.7500 1
O1 O 0.0401 0.3702 0.6355 1
```

## Properties
Calculated total energy: -8.126 eV per atom